Record 1
{"formula": "Sr4BeCd", "functional": "GGA-PBE", "state": "relaxed", "sg": "F-43m", "lattice_angstrom": [[0.000, 5.080, 5.080], [5.080, 0.000, 5.080], [5.080, 5.080, 0.000]], "species": ["Sr", "Sr", "Sr", "Sr", "Be", "Cd"], "frac_coords": [[0.125, 0.125, 0.125], [0.125, 0.125, 0.625], [0.125, 0.625, 0.125], [0.625, 0.125, 0.125], [0.750, 0.750, 0.750], [0.500, 0.500, 0.500]]}

---

Record 2
{"formula": "SrBe2Cd", "functional": "GGA-PBE", "state": "relaxed", "sg": "R3m", "lattice_angstrom": [[2.082, 1.202, 5.677], [-2.082, 1.202, 5.677], [0.000, -2.404, 5.677]], "species": ["Sr", "Be", "Be", "Cd"], "frac_coords": [[0.000, 0.000, 0.000], [0.481, 0.481, 0.481], [0.808, 0.808, 0.808], [0.189, 0.189, 0.189]]}

---

Record 3
{"formula": "SrBe2Cd", "functional": "GGA-PBE", "state": "relaxed", "sg": "Pmm2", "lattice_angstrom": [[3.036, 0.000, 0.000], [0.000, 3.171, 0.000], [0.000, 0.000, 7.717]], "species": ["Sr", "Be", "Be", "Cd"], "frac_coords": [[0.000, 0.000, 0.000], [0.000, 0.000, 0.594], [0.500, 0.500, 0.698], [0.500, 0.500, 0.350]]}

---

Record 4
{"formula": "SrBeCd4", "functional": "GGA-PBE", "state": "relaxed", "sg": "F-43m", "lattice_angstrom": [[0.000, 4.189, 4.189], [4.189, 0.000, 4.189], [4.189, 4.189, 0.000]], "species": ["Sr", "Be", "Cd", "Cd", "Cd", "Cd"], "frac_coords": [[0.000, 0.000, 0.000], [0.750, 0.750, 0.750], [0.375, 0.375, 0.375], [0.375, 0.375, 0.874], [0.375, 0.874, 0.375], [0.874, 0.375, 0.375]]}

---

Record 5
{"formula": "SrBe2Cd", "functional": "GGA-PBE", "state": "relaxed", "sg": "I4_1/amd", "lattice_angstrom": [[-2.321, 2.321, 8.581], [2.321, -2.321, 8.581], [2.321, 2.321, -8.581]], "species": ["Sr", "Sr", "Be", "Be", "Be", "Be", "Cd", "Cd"], "frac_coords": [[0.375, 0.625, 0.750], [0.625, 0.375, 0.250], [0.000, 0.000, 0.000], [0.000, 0.000, 0.500], [0.000, 0.500, 0.000], [0.500, 0.000, 0.500], [0.125, 0.875, 0.250], [0.875, 0.125, 0.750]]}

---

Record 6
{"formula": "SrBe2Cd", "functional": "GGA-PBE", "state": "relaxed", "sg": "P4/mmm", "lattice_angstrom": [[3.382, 0.000, 0.000], [0.000, 3.382, 0.000], [0.000, 0.000, 7.003]], "species": ["Sr", "Be", "Be", "Cd"], "frac_coords": [[0.000, 0.000, 0.000], [0.500, 0.500, 0.330], [0.500, 0.500, 0.670], [0.000, 0.000, 0.500]]}

---

Record 7
{"formula": "SrBeCd3", "functional": "GGA-PBE", "state": "relaxed", "e_above_lowest_polymorph_mev_per_atom": 1144, "sg": "Pm-3m", "lattice_angstrom": [[6.521, 0.000, 0.000], [0.000, 6.521, 0.000], [0.000, 0.000, 6.521]], "species": ["Sr", "Be", "Cd", "Cd", "Cd"], "frac_coords": [[0.000, 0.000, 0.000], [0.500, 0.500, 0.500], [0.000, 0.000, 0.500], [0.000, 0.500, 0.000], [0.500, 0.000, 0.000]]}

---

Record 8
{"formula": "SrBe2Cd", "functional": "GGA-PBE", "state": "relaxed", "sg": "Pm", "lattice_angstrom": [[4.177, 0.000, 0.000], [0.000, 4.028, 0.000], [-2.074, 0.000, 5.141]], "species": ["Sr", "Be", "Be", "Cd"], "frac_coords": [[0.000, 0.000, 0.000], [0.295, 0.000, 0.585], [0.344, 0.500, 0.689], [0.717, 0.500, 0.434]]}

---

Record 9
{"formula": "Sr2Be2Cd", "functional": "GGA-PBE", "state": "relaxed", "e_above_lowest_polymorph_mev_per_atom": 0, "sg": "P4/mbm", "lattice_angstrom": [[7.737, 0.000, 0.000], [0.000, 7.737, 0.000], [0.000, 0.000, 4.353]], "species": ["Sr", "Sr", "Sr", "Sr", "Be", "Be", "Be", "Be", "Cd", "Cd"], "frac_coords": [[0.190, 0.310, 0.000], [0.310, 0.810, 0.000], [0.690, 0.190, 0.000], [0.810, 0.690, 0.000], [0.097, 0.597, 0.500], [0.403, 0.097, 0.500], [0.597, 0.903, 0.500], [0.903, 0.403, 0.500], [0.000, 0.000, 0.500], [0.500, 0.500, 0.500]]}

---

Record 10
{"formula": "SrBe2Cd", "functional": "GGA-PBE", "state": "relaxed", "sg": "P4/mmm", "lattice_angstrom": [[4.768, 0.000, 0.000], [0.000, 4.768, 0.000], [0.000, 0.000, 3.745]], "species": ["Sr", "Be", "Be", "Cd"], "frac_coords": [[0.000, 0.000, 0.000], [0.000, 0.500, 0.500], [0.500, 0.000, 0.500], [0.500, 0.500, 0.000]]}

---

Record 11
{"formula": "SrBe2Cd", "functional": "GGA-PBE", "state": "relaxed", "sg": "Immm", "lattice_angstrom": [[-2.248, 2.712, 3.402], [2.248, -2.712, 3.402], [2.248, 2.712, -3.402]], "species": ["Sr", "Be", "Be", "Cd"], "frac_coords": [[0.000, 0.000, 0.000], [0.326, 0.826, 0.500], [0.674, 0.174, 0.500], [0.500, 0.500, 0.000]]}

---

Record 12
{"formula": "SrTa2BeCd", "functional": "GGA-PBE", "state": "relaxed", "sg": "P4/mmm", "lattice_angstrom": [[4.561, 0.000, 0.000], [0.000, 4.561, 0.000], [0.000, 0.000, 5.426]], "species": ["Sr", "Ta", "Ta", "Be", "Cd"], "frac_coords": [[0.000, 0.000, 0.000], [0.000, 0.500, 0.500], [0.500, 0.000, 0.500], [0.000, 0.000, 0.500], [0.500, 0.500, 0.000]]}

---

Record 13
{"formula": "SrBeCd2Tc", "functional": "GGA-PBE", "state": "relaxed", "sg": "P4/mmm", "lattice_angstrom": [[5.898, 0.000, 0.000], [0.000, 5.898, 0.000], [0.000, 0.000, 5.295]], "species": ["Sr", "Be", "Cd", "Cd", "Tc"], "frac_coords": [[0.000, 0.000, 0.000], [0.000, 0.000, 0.500], [0.000, 0.500, 0.000], [0.500, 0.000, 0.000], [0.500, 0.500, 0.500]]}

---

Record 14
{"formula": "Sr2BeVCd", "functional": "GGA-PBE", "state": "relaxed", "sg": "P4/mmm", "lattice_angstrom": [[6.138, 0.000, 0.000], [0.000, 6.138, 0.000], [0.000, 0.000, 4.988]], "species": ["Sr", "Sr", "Be", "V", "Cd"], "frac_coords": [[0.000, 0.500, 0.000], [0.500, 0.000, 0.000], [0.000, 0.000, 0.500], [0.500, 0.500, 0.500], [0.500, 0.500, 0.000]]}

---

| no. | total energy (eV per atom) | formation energy from the elements (meV/atom) | total magnetic moment (μB/atom) |
| --- | --- | --- | --- |
| 1 | -1.115 | 780 | 0.00 |
| 2 | -2.344 | 169 | 0.00 |
| 3 | -2.101 | 411 | 0.00 |
| 4 | -1.296 | 215 | 0.00 |
| 5 | -2.168 | 344 | 0.00 |
| 6 | -2.007 | 505 | 0.00 |
| 7 | -0.512 | 1119 | 0.00 |
| 8 | -2.248 | 264 | 0.00 |
| 9 | -2.077 | 269 | 0.00 |
| 10 | -1.823 | 690 | 0.00 |
| 11 | -2.088 | 424 | 0.00 |
| 12 | -5.094 | 912 | 0.00 |
| 13 | -1.544 | 1977 | 0.71 |
| 14 | -2.196 | 1228 | 0.10 |